# 1
Lu2InHg | PBE | optimized geometry

Total energy = -3.03 eV/atom
Calculated volume = 25.76 A^3/atom
SG = No. 216

```
4
Lattice="0.000 3.721 3.721 3.721 0.000 3.721 3.721 3.721 0.000" Properties=species:S:1:pos:R:3 pbc="T T T"
Lu 0.000 0.000 0.000
Lu 1.860 1.860 1.860
In 3.721 3.721 3.721
Hg 5.581 5.581 5.581
```

***

# 2
SrNdO3 | PBE | optimized geometry

Total energy = -6.87 eV/atom
Calculated volume = 17.37 A^3/atom
SG = No. 148

```
10
Lattice="3.079 1.777 5.290 -3.079 1.777 5.290 0.000 -3.555 5.290" Properties=species:S:1:pos:R:3 pbc="T T T"
Sr 0.000 0.000 2.163
Sr 0.000 0.000 13.708
Nd 0.000 0.000 5.683
Nd 0.000 0.000 10.188
O -1.341 -1.677 6.554
O -2.123 0.323 9.317
O -0.782 2.000 6.554
O 0.782 -2.000 9.317
O 2.123 -0.323 6.554
O 1.341 1.677 9.317
```

***

# 3
La2TbIn3CuAg2 | PBE | optimized geometry

Total energy = -3.99 eV/atom
Calculated volume = 24.58 A^3/atom
SG = No. 38

```
9
Lattice="4.165 0.000 0.000 0.000 6.777 3.918 0.000 -6.777 3.918" Properties=species:S:1:pos:R:3 pbc="T T T"
La 0.000 -4.022 3.918
La 0.000 4.022 3.918
Tb 0.000 0.000 3.113
In 2.083 0.000 0.313
In 2.083 -1.630 5.284
In 2.083 1.630 5.284
Cu 0.000 0.000 6.210
Ag 2.083 -2.171 2.340
Ag 2.083 2.171 2.340
```

***

# 4
ZnTcAsO | PBE | optimized geometry

Energy above the most stable polymorph in this dataset = 0 meV per atom
Total energy = -5.85 eV/atom
Calculated volume = 14.82 A^3/atom
SG = No. 26

```
8
Lattice="3.104 0.000 0.000 0.000 6.511 0.000 0.000 0.000 5.864" Properties=species:S:1:pos:R:3 pbc="T T T"
Zn 0.000 0.537 0.000
Zn 0.000 5.974 2.932
Tc 1.552 3.254 1.426
Tc 1.552 3.257 4.358
As 0.000 1.883 2.898
As 0.000 4.628 5.830
O 1.552 1.722 5.824
O 1.552 4.789 2.892
```

***

# 5
Tb4TcBi | PBE | optimized geometry

Total energy = -5.87 eV/atom
Calculated volume = 29.12 A^3/atom
SG = No. 15

```
12
Lattice="4.480 -6.772 0.000 4.480 6.772 0.000 -2.407 0.000 5.760" Properties=species:S:1:pos:R:3 pbc="T T T"
Tb 1.247 4.514 5.398
Tb 0.903 0.960 3.729
Tb 4.102 4.514 3.243
Tb 2.106 -0.960 0.849
Tb 4.446 0.960 4.911
Tb 2.451 -4.514 2.518
Tb 5.650 -0.960 2.031
Tb 5.305 -4.514 0.362
Tc 3.878 6.759 1.440
Tc 2.675 -6.759 4.320
Bi 3.878 1.726 1.440
Bi 2.675 -1.726 4.320
```

***

# 6
MgScNiGe | PBE | optimized geometry

Energy above the most stable polymorph in this dataset = 0 meV per atom
Total energy = -4.94 eV/atom
Calculated volume = 16.59 A^3/atom
SG = No. 216

```
4
Lattice="0.000 3.213 3.213 3.213 0.000 3.213 3.213 3.213 0.000" Properties=species:S:1:pos:R:3 pbc="T T T"
Mg 0.000 0.000 0.000
Sc 3.213 3.213 3.213
Ni 4.820 4.820 4.820
Ge 1.607 1.607 1.607
```

***

# 7
KBaLu | PBE | optimized geometry

Energy above the most stable polymorph in this dataset = 0 meV per atom
Total energy = -1.64 eV/atom
Calculated volume = 61.92 A^3/atom
SG = No. 216

```
3
Lattice="0.000 4.529 4.529 4.529 0.000 4.529 4.529 4.529 0.000" Properties=species:S:1:pos:R:3 pbc="T T T"
K 0.000 0.000 0.000
Ba 4.529 4.529 4.529
Lu 6.793 6.793 6.793
```

***

# 8
Lu2B6Os | PBE | optimized geometry

Total energy = -7.42 eV/atom
Calculated volume = 10.23 A^3/atom
SG = No. 55

```
36
Lattice="9.015 0.000 0.000 0.000 11.376 0.000 0.000 0.000 3.591" Properties=species:S:1:pos:R:3 pbc="T T T"
Lu 0.502 1.438 0.000
Lu 1.617 4.709 0.000
Lu 2.890 10.397 0.000
Lu 4.005 7.126 0.000
Lu 5.010 4.250 0.000
Lu 6.125 0.979 0.000
Lu 7.398 6.667 0.000
Lu 8.513 9.938 0.000
B 0.165 3.263 1.796
B 0.481 6.441 1.796
B 0.961 11.042 1.796
B 1.184 9.281 1.796
B 1.873 2.664 1.796
B 2.247 6.589 1.796
B 2.260 0.901 1.796
B 2.634 8.352 1.796
B 3.324 3.593 1.796
B 3.547 5.354 1.796
B 4.026 0.752 1.796
B 4.343 8.951 1.796
B 4.672 2.426 1.796
B 4.989 10.624 1.796
B 5.468 6.023 1.796
B 5.691 7.783 1.796
B 6.381 3.024 1.796
B 6.755 10.475 1.796
B 6.768 4.787 1.796
B 7.142 8.713 1.796
B 7.831 2.095 1.796
B 8.054 0.334 1.796
B 8.534 4.936 1.796
B 8.850 8.114 1.796
Os 1.240 7.723 0.000
Os 3.268 2.034 0.000
Os 5.747 9.342 0.000
Os 7.775 3.654 0.000
```

***

# 9
Nb2InCu | PBE | optimized geometry

Total energy = -6.28 eV/atom
Calculated volume = 17.90 A^3/atom
SG = No. 216

```
4
Lattice="0.000 3.296 3.296 3.296 0.000 3.296 3.296 3.296 0.000" Properties=species:S:1:pos:R:3 pbc="T T T"
Nb 0.000 0.000 0.000
Nb 1.648 1.648 1.648
In 3.296 3.296 3.296
Cu 4.943 4.943 4.943
```

***

# 10
GaFeCuNi | PBE | optimized geometry

Energy above the most stable polymorph in this dataset = 0 meV per atom
Total energy = -5.25 eV/atom
Calculated volume = 12.21 A^3/atom
SG = No. 216

```
4
Lattice="0.000 2.901 2.901 2.901 0.000 2.901 2.901 2.901 0.000" Properties=species:S:1:pos:R:3 pbc="T T T"
Ga 0.000 0.000 0.000
Fe 2.901 2.901 2.901
Cu 1.450 1.450 1.450
Ni 4.351 4.351 4.351
```

***

# 11
Os2PdAu | PBE | optimized geometry

Formation energy = 0.72 eV/atom
Total energy = -7.00 eV/atom
Calculated volume = 15.64 A^3/atom
SG = No. 216

```
4
Lattice="0.000 3.151 3.151 3.151 0.000 3.151 3.151 3.151 0.000" Properties=species:S:1:pos:R:3 pbc="T T T"
Os 0.000 0.000 0.000
Os 1.575 1.575 1.575
Pd 3.151 3.151 3.151
Au 4.726 4.726 4.726
```

***

# 12
ZrCoHgPb | PBE | optimized geometry

Energy above the most stable polymorph in this dataset = 13 meV per atom
Total energy = -4.64 eV/atom
Calculated volume = 20.10 A^3/atom
SG = No. 216

```
4
Lattice="0.000 3.426 3.426 3.426 0.000 3.426 3.426 3.426 0.000" Properties=species:S:1:pos:R:3 pbc="T T T"
Zr 0.000 0.000 0.000
Co 5.138 5.138 5.138
Hg 1.713 1.713 1.713
Pb 3.426 3.426 3.426
```